A geometry-optimized TeIr2Au structure, computed with GGA-PBE.

The structure in POSCAR format:
```
TeIr2Au
1.0
-3.444 -0.890 -3.484
2.381 -0.277 -4.364
0.896 -2.330 4.308
Ir Te Au
2 1 1
Cartesian
0.000 0.000 0.000 Ir
1.373 -1.595 -1.990 Ir
-0.531 -0.584 -3.924 Te
-1.540 -1.902 -1.550 Au
```

Formation energy (no corrections): 0.619 eV/atom
Polymorph energy (0 for the lowest one): 1.31 eV/f.u.
Calculated volume: 70 Å³/cell

=====

A geometry-optimized LaZrCu structure, computed with GGA-PBE.

The structure in POSCAR format:
```
LaZrCu
1.0
3.918 -0.643 2.579
0.329 1.905 4.321
-0.116 -2.782 3.829
La Zr Cu
1 1 1
Cartesian
0.000 0.000 0.000 La
1.033 -0.380 2.682 Zr
3.098 -1.139 8.046 Cu
```

Polymorph energy (0 for the lowest one): 2.97 eV/f.u.
Calculated volume: 75 Å³/cell